! BaZrTi2 PBE-GGA optimized geometry; values from VASP
! ΔH_f (0 K): 0.747 eV per atom
! electronic total energy: -23.3 eV per cell
&SYSTEM
  ibrav = 0, nat = 4, ntyp = 3
/
ATOMIC_SPECIES
Ba 137.33 Ba.upf
Ti 47.87 Ti.upf
Zr 91.22 Zr.upf
CELL_PARAMETERS angstrom
2.2263 2.1618 4.0775
1.9157 4.7403 -0.3396
-2.3108 3.8771 2.4257
ATOMIC_POSITIONS crystal
Ba 0.5000 0.5000 0.5000
Ti 0.2500 0.2500 0.2500
Zr 0.0000 0.0000 0.0000
Ti 0.7500 0.7500 0.7500